Entry 1:
A geometry-optimized NdThIn6 structure, computed with PBE-GGA.

Cell: 4.728 4.728 9.464 Å, 90.00 90.00 90.00°
Atoms (fractional coordinates):
In 0.000 0.500 0.748
In 0.500 0.000 0.252
Nd 0.000 0.000 0.500
In 0.500 0.000 0.748
In 0.500 0.500 0.000
In 0.500 0.500 0.500
In 0.000 0.500 0.252
Th 0.000 0.000 0.000

**E**: -3.9926 eV/atom
**Space-group type**: P4/mmm (123)


Entry 2:
A geometry-optimized NdThIn structure, computed with PBE-GGA.

Cell: 5.019 4.537 8.369 Å, 105.73 90.00 90.00°
Atoms (fractional coordinates):
In 0.250 0.092 0.183
In 0.750 0.908 0.817
Nd 0.250 0.425 0.851
Th 0.750 0.257 0.514
Nd 0.750 0.575 0.149
Th 0.250 0.743 0.486

**E**: -5.2279 eV/atom
**Space-group type**: Cmcm (63)
**Distance to the lowest polymorph of the same formula**: 0.00 eV/f.u.


Entry 3:
A geometry-optimized Nd6ThIn3 structure, computed with PBE-GGA.

Cell: 5.339 10.223 11.574 Å, 100.23 90.00 90.00°
Atoms (fractional coordinates):
Nd 0.250 0.823 0.288
Nd 0.750 0.358 0.305
Nd 0.250 0.272 0.520
Nd 0.250 0.642 0.695
Nd 0.250 0.066 0.905
Nd 0.750 0.544 0.903
In 0.250 0.356 0.809
Th 0.750 0.046 0.408
Th 0.250 0.954 0.592
Nd 0.750 0.934 0.095
Nd 0.250 0.456 0.097
Nd 0.250 0.137 0.227
Nd 0.750 0.728 0.480
Nd 0.750 0.177 0.712
Nd 0.750 0.863 0.773
In 0.750 0.459 0.605
In 0.750 0.242 0.018
In 0.250 0.758 0.982
In 0.250 0.541 0.395
In 0.750 0.644 0.191

**E**: -4.6963 eV/atom
**Space-group type**: P2_1/m (11)


Entry 4:
A geometry-optimized Nd5ThIn4 structure, computed with PBE-GGA.

Cell: 3.631 3.631 22.551 Å, 90.00 90.00 90.00°
Atoms (fractional coordinates):
In 0.000 0.000 0.793
Nd 0.500 0.500 0.305
Nd 0.500 0.500 0.695
Nd 0.500 0.500 0.500
In 0.000 0.000 0.598
Nd 0.500 0.500 0.110
In 0.000 0.000 0.402
Th 0.000 0.000 0.000
In 0.000 0.000 0.207
Nd 0.500 0.500 0.890

**E**: -4.6104 eV/atom
**Space-group type**: P4/mmm (123)


Entry 5:
A geometry-optimized Nd12ThIn3 structure, computed with PBE-GGA.

Cell: 5.015 5.015 20.249 Å, 90.00 90.00 90.00°
Atoms (fractional coordinates):
Nd 0.000 0.500 0.377
Nd 0.500 0.000 0.377
Nd 0.500 0.500 0.254
Th 0.000 0.000 0.000
Nd 0.500 0.000 0.128
Nd 0.000 0.500 0.623
Nd 0.000 0.500 0.872
Nd 0.500 0.500 0.746
In 0.000 0.000 0.745
Nd 0.000 0.500 0.128
In 0.000 0.000 0.255
Nd 0.500 0.000 0.623
Nd 0.500 0.500 0.000
In 0.000 0.000 0.500
Nd 0.500 0.500 0.500
Nd 0.500 0.000 0.872

**E**: -4.7397 eV/atom
**Space-group type**: P4/mmm (123)


Entry 6:
A geometry-optimized Nd6ThIn structure, computed with PBE-GGA.

Cell: 5.054 5.054 10.234 Å, 90.00 90.00 90.00°
Atoms (fractional coordinates):
Th 0.000 0.000 0.500
Nd 0.000 0.500 0.753
In 0.000 0.000 0.000
Nd 0.500 0.000 0.247
Nd 0.500 0.000 0.753
Nd 0.500 0.500 0.000
Nd 0.500 0.500 0.500
Nd 0.000 0.500 0.247

**E**: -4.9405 eV/atom
**Space-group type**: P4/mmm (123)


Entry 7:
A geometry-optimized NdThIn structure, computed with PBE-GGA.

Cell: 4.459 3.649 11.712 Å, 81.04 90.00 90.00°
Atoms (fractional coordinates):
In 0.250 0.131 0.738
Th 0.250 0.295 0.410
Nd 0.250 0.440 0.119
In 0.750 0.869 0.262
Nd 0.750 0.560 0.881
Th 0.750 0.705 0.590

**E**: -5.1163 eV/atom
**Space-group type**: Cmcm (63)
**Distance to the lowest polymorph of the same formula**: 0.33 eV/f.u.


Entry 8:
A geometry-optimized Nd2ThIn6 structure, computed with PBE-GGA.

Cell: 3.637 8.796 8.796 Å, 120.00 90.00 90.00°
Atoms (fractional coordinates):
Th 0.000 0.000 0.000
In 0.500 0.666 0.000
In 0.500 0.334 0.000
In 0.500 0.000 0.666
In 0.500 0.000 0.334
Nd 0.000 0.333 0.667
In 0.500 0.666 0.666
In 0.500 0.334 0.334
Nd 0.000 0.667 0.333

**E**: -4.1170 eV/atom
**Space-group type**: P6/mmm (191)
**Distance to the lowest polymorph of the same formula**: 0.00 eV/f.u.


Entry 9:
A geometry-optimized Nd3ThIn4 structure, computed with PBE-GGA.

Cell: 3.596 3.596 17.824 Å, 90.00 90.00 90.00°
Atoms (fractional coordinates):
Nd 0.500 0.500 0.251
Th 0.500 0.500 0.000
Nd 0.500 0.500 0.749
In 0.000 0.000 0.376
In 0.000 0.000 0.126
In 0.000 0.000 0.624
Nd 0.500 0.500 0.500
In 0.000 0.000 0.874

**E**: -4.5200 eV/atom
**Space-group type**: P4/mmm (123)
**Distance to the lowest polymorph of the same formula**: 0.00 eV/f.u.


Entry 10:
A geometry-optimized Nd2ThIn6 structure, computed with PBE-GGA.

Cell: 4.595 8.752 8.752 Å, 52.09 74.78 74.78°
Atoms (fractional coordinates):
In 0.500 0.694 0.306
In 0.685 0.623 0.007
In 0.500 0.306 0.694
Nd 0.123 0.377 0.377
Nd 0.877 0.623 0.623
In 0.315 0.377 0.993
In 0.315 0.993 0.377
In 0.685 0.007 0.623
Th 0.000 0.000 0.000

**E**: -3.9395 eV/atom
**Space-group type**: Immm (71)
**Distance to the lowest polymorph of the same formula**: 1.60 eV/f.u.


Entry 11:
A geometry-optimized Nd9ThIn2 structure, computed with PBE-GGA.

Cell: 5.031 5.031 15.216 Å, 90.00 90.00 90.00°
Atoms (fractional coordinates):
Nd 0.500 0.500 0.661
Nd 0.000 0.500 0.830
Nd 0.500 0.000 0.500
In 0.000 0.000 0.663
Nd 0.500 0.000 0.170
Nd 0.000 0.500 0.170
Th 0.000 0.000 0.000
In 0.000 0.000 0.337
Nd 0.500 0.000 0.830
Nd 0.500 0.500 0.339
Nd 0.000 0.500 0.500
Nd 0.500 0.500 0.000

**E**: -4.8089 eV/atom
**Space-group type**: P4/mmm (123)


no.,energy relative to the elements (kJ/mol of atoms),DOS at the Fermi energy (states/eV per atom)
1,-40,0.37
2,-24,1.04
3,-26,0.98
4,-38,0.66
5,-18,1.55
6,-9,1.42
7,-14,1.18
8,-39,0.37
9,-42,0.87
10,-22,0.88
11,-15,1.34